Here is a relaxed Ho3Ni5O12 crystal from Alexandria. Energies are from GGA+U.

Lattice parameters (Å, degrees): 10.6526 10.6526 10.6526 109.47 109.47 109.47
Closest atoms and distances in Å follow each position.
Sites, in units of the cell vectors:
Ho 0.1250 0.2500 0.3750  8 O 2.33-2.42
Ho 0.1250 0.3750 0.7500  8 O 2.33-2.42
Ho 0.2500 0.3750 0.1250  8 O 2.33-2.42
Ho 0.2500 0.8750 0.6250  8 O 2.33-2.42
Ho 0.3750 0.1250 0.2500  8 O 2.33-2.42
Ho 0.3750 0.7500 0.1250  8 O 2.33-2.42
Ho 0.6250 0.2500 0.8750  8 O 2.33-2.42
Ho 0.6250 0.8750 0.7500  8 O 2.33-2.42
Ho 0.7500 0.1250 0.3750  8 O 2.33-2.42
Ho 0.7500 0.6250 0.8750  8 O 2.33-2.42
Ho 0.8750 0.6250 0.2500  8 O 2.33-2.42
Ho 0.8750 0.7500 0.6250  8 O 2.33-2.42
Ni 0.0000 0.0000 0.0000  6 O 2.03
Ni 0.0000 0.0000 0.5000  6 O 2.03
Ni 0.0000 0.5000 0.0000  6 O 2.03
Ni 0.0000 0.5000 0.5000  6 O 2.03
Ni 0.1250 0.7500 0.8750  4 O 1.85
Ni 0.1250 0.8750 0.2500  4 O 1.85
Ni 0.2500 0.1250 0.8750  4 O 1.85
Ni 0.2500 0.6250 0.3750  4 O 1.85
Ni 0.3750 0.2500 0.6250  4 O 1.85
Ni 0.3750 0.6250 0.7500  4 O 1.85
Ni 0.5000 0.0000 0.0000  6 O 2.03
Ni 0.5000 0.0000 0.5000  6 O 2.03
Ni 0.5000 0.5000 0.0000  6 O 2.03
Ni 0.5000 0.5000 0.5000  6 O 2.03
Ni 0.6250 0.3750 0.2500  4 O 1.85
Ni 0.6250 0.7500 0.3750  4 O 1.85
Ni 0.7500 0.3750 0.6250  4 O 1.85
Ni 0.7500 0.8750 0.1250  4 O 1.85
Ni 0.8750 0.1250 0.7500  4 O 1.85
Ni 0.8750 0.2500 0.1250  4 O 1.85
O 0.0309 0.2094 0.1258  2 Ni 1.85-2.03
O 0.0309 0.3215 0.9051  2 Ni 1.85-2.03
O 0.0836 0.7094 0.6785  2 Ni 1.85-2.03
O 0.0836 0.8742 0.4051  2 Ni 1.85-2.03
O 0.0949 0.6258 0.4164  2 Ni 1.85-2.03
O 0.0949 0.9691 0.6785  2 Ni 1.85-2.03
O 0.1258 0.0309 0.2094  2 Ni 1.85-2.03
O 0.1258 0.5949 0.9164  2 Ni 1.85-2.03
O 0.1785 0.2094 0.5836  2 Ni 1.85-2.03
O 0.1785 0.4691 0.5949  2 Ni 1.85-2.03
O 0.2094 0.1258 0.0309  2 Ni 1.85-2.03
O 0.2094 0.5836 0.1785  2 Ni 1.85-2.03
O 0.2906 0.3215 0.9164  2 Ni 1.85-2.03
O 0.2906 0.4691 0.3742  2 Ni 1.85-2.03
O 0.3215 0.9051 0.0309  2 Ni 1.85-2.03
O 0.3215 0.9164 0.2906  2 Ni 1.85-2.03
O 0.3742 0.2906 0.4691  2 Ni 1.85-2.03
O 0.3742 0.5836 0.9051  2 Ni 1.85-2.03
O 0.4051 0.0836 0.8742  2 Ni 1.85-2.03
O 0.4051 0.8215 0.5309  2 Ni 1.85-2.03
O 0.4164 0.0949 0.6258  2 Ni 1.85-2.03
O 0.4164 0.8215 0.7906  2 Ni 1.85-2.03
O 0.4691 0.3742 0.2906  2 Ni 1.85-2.03
O 0.4691 0.5949 0.1785  2 Ni 1.85-2.03
O 0.5309 0.4051 0.8215  2 Ni 1.85-2.03
O 0.5309 0.6258 0.7094  2 Ni 1.85-2.03
O 0.5836 0.1785 0.2094  2 Ni 1.85-2.03
O 0.5836 0.9051 0.3742  2 Ni 1.85-2.03
O 0.5949 0.1785 0.4691  2 Ni 1.85-2.03
O 0.5949 0.9164 0.1258  2 Ni 1.85-2.03
O 0.6258 0.4164 0.0949  2 Ni 1.85-2.03
O 0.6258 0.7094 0.5309  2 Ni 1.85-2.03
O 0.6785 0.0836 0.7094  2 Ni 1.85-2.03
O 0.6785 0.0949 0.9691  2 Ni 1.85-2.03
O 0.7094 0.5309 0.6258  2 Ni 1.85-2.03
O 0.7094 0.6785 0.0836  2 Ni 1.85-2.03
O 0.7906 0.4164 0.8215  2 Ni 1.85-2.03
O 0.7906 0.8742 0.9691  2 Ni 1.85-2.03
O 0.8215 0.5309 0.4051  2 Ni 1.85-2.03
O 0.8215 0.7906 0.4164  2 Ni 1.85-2.03
O 0.8742 0.4051 0.0836  2 Ni 1.85-2.03
O 0.8742 0.9691 0.7906  2 Ni 1.85-2.03
O 0.9051 0.0309 0.3215  2 Ni 1.85-2.03
O 0.9051 0.3742 0.5836  2 Ni 1.85-2.03
O 0.9164 0.1258 0.5949  2 Ni 1.85-2.03
O 0.9164 0.2906 0.3215  2 Ni 1.85-2.03
O 0.9691 0.6785 0.0949  2 Ni 1.85-2.03
O 0.9691 0.7906 0.8742  2 Ni 1.85-2.03

Summary:
calculated density	6997	kg/m³
energy	-483.22	eV/cell
crystal system	cubic
magnetic moment	0.55	μB per atom
symmetry	Ia-3d (230)
density of states at the Fermi level	5.69	states/eV/f.u.